1.
This record from Alexandria describes a geometry-optimized LiSc2Ag6 structure. The functional is PBE-GGA.

abc: 8.353 8.353 5.072
angles: 97.47 97.47 72.79
Atoms (fractional coordinates):
Li1 0.127 0.873 0.750
Li2 0.873 0.127 0.250
Sc1 0.210 0.458 0.924
Sc2 0.458 0.210 0.424
Sc3 0.542 0.790 0.576
Sc4 0.790 0.542 0.076
Ag1 0.013 0.773 0.183
Ag2 0.095 0.344 0.370
Ag3 0.227 0.987 0.317
Ag4 0.312 0.578 0.475
Ag5 0.344 0.095 0.870
Ag6 0.422 0.688 0.025
Ag7 0.578 0.312 0.975
Ag8 0.656 0.905 0.130
Ag9 0.688 0.422 0.525
Ag10 0.773 0.013 0.683
Ag11 0.905 0.656 0.630
Ag12 0.987 0.227 0.817

- Space group: C2/c, No. 15
- Size of the total moment: 0.00 μB/f.u.
- Electronic total energy: -0.135 Ha/atom
- Crystal system: monoclinic

2.
This record from Alexandria describes a geometry-optimized Li2ScAg structure. The functional is PBE-GGA.

abc: 4.627 4.627 4.627
angles: 60.00 60.00 60.00
Atoms (fractional coordinates):
Li1 0.250 0.250 0.250
Li2 0.750 0.750 0.750
Sc1 0.000 0.000 0.000
Ag1 0.500 0.500 0.500

- Space group: Fm-3m, No. 225
- Size of the total moment: 1.09 μB/f.u.
- Electronic total energy: -0.119 Ha/atom
- Relative energy among the computed polymorphs: 98 meV/atom
- Crystal system: cubic

3.
This record from Alexandria describes a geometry-optimized Li4ScAg structure. The functional is PBE-GGA.

abc: 5.272 5.272 5.272
angles: 60.00 60.00 60.00
Atoms (fractional coordinates):
Li1 0.377 0.377 0.377
Li2 0.377 0.377 0.870
Li3 0.377 0.870 0.377
Li4 0.870 0.377 0.377
Sc1 0.000 0.000 0.000
Ag1 0.750 0.750 0.750

- Space group: F-43m, No. 216
- Size of the total moment: 0.00 μB/f.u.
- Electronic total energy: -0.101 Ha/atom
- Crystal system: cubic